[1]
VASP calculation (PBE) on HfZr2U after structural relaxation.

As for the total energy: -9.32 eV/atom. For the energy above the lowest structure with this stoichiometry, the calculation gives 0.000 eV per formula unit.

Geometry as CIF:
```
data_HfZr2U
_symmetry_space_group_name_H-M 'P 4/m m m'
_symmetry_Int_Tables_number 123
_symmetry_space_group_name_Hall '-P 4 2'
_cell_length_a 3.508
_cell_length_b 3.508
_cell_length_c 7.293
_cell_angle_alpha 90.00
_cell_angle_beta 90.00
_cell_angle_gamma 90.00
loop_
_atom_site_label
_atom_site_type_symbol
_atom_site_fract_x
_atom_site_fract_y
_atom_site_fract_z
Hf1 Hf 0.000 0.000 0.000
Zr1 Zr 0.500 0.500 0.269
U1 U 0.000 0.000 0.500
```

---

[2]
VASP calculation (PBE) on NbPd2Pt6 after structural relaxation.

As for the total energy: -6.55 eV/atom.

Geometry as CIF:
```
data_NbPd2Pt6
_symmetry_space_group_name_H-M 'C 1 2/m 1'
_symmetry_Int_Tables_number 12
_symmetry_space_group_name_Hall '-C 2y'
_cell_length_a 6.215
_cell_length_b 12.556
_cell_length_c 3.953
_cell_angle_alpha 90.00
_cell_angle_beta 108.29
_cell_angle_gamma 90.00
loop_
_atom_site_label
_atom_site_type_symbol
_atom_site_fract_x
_atom_site_fract_y
_atom_site_fract_z
Nb1 Nb 0.000 0.000 0.000
Pd1 Pd 0.000 0.159 0.500
Pt1 Pt 0.166 0.344 0.839
Pt2 Pt 0.179 0.500 0.342
```

---

[3]
VASP calculation (PBE) on CaSmYMg after structural relaxation.

As for the total energy: -3.64 eV/atom. For the energy above the lowest structure with this stoichiometry, the calculation gives 0.279 eV per formula unit.

Geometry as CIF:
```
data_CaSmYMg
_symmetry_space_group_name_H-M 'F -4 3 m'
_symmetry_Int_Tables_number 216
_symmetry_space_group_name_Hall 'F -4 2 3'
_cell_length_a 7.954
_cell_length_b 7.954
_cell_length_c 7.954
_cell_angle_alpha 90.00
_cell_angle_beta 90.00
_cell_angle_gamma 90.00
loop_
_atom_site_label
_atom_site_type_symbol
_atom_site_fract_x
_atom_site_fract_y
_atom_site_fract_z
Ca1 Ca 0.000 0.000 0.000
Sm1 Sm 0.250 0.250 0.250
Y1 Y 0.250 0.250 0.750
Mg1 Mg 0.000 0.000 0.500
```

---

[4]
VASP calculation (PBE) on SrSc3As after structural relaxation.

As for the total energy: -3.72 eV/atom. For the energy above the lowest structure with this stoichiometry, the calculation gives 7.933 eV per formula unit.

Geometry as CIF:
```
data_SrSc3As
_symmetry_space_group_name_H-M 'P m -3 m'
_symmetry_Int_Tables_number 221
_symmetry_space_group_name_Hall '-P 4 2 3'
_cell_length_a 5.169
_cell_length_b 5.169
_cell_length_c 5.169
_cell_angle_alpha 90.00
_cell_angle_beta 90.00
_cell_angle_gamma 90.00
loop_
_atom_site_label
_atom_site_type_symbol
_atom_site_fract_x
_atom_site_fract_y
_atom_site_fract_z
Sr1 Sr 0.000 0.000 0.000
Sc1 Sc 0.000 0.000 0.500
As1 As 0.500 0.500 0.500
```

---

no.,magnetization (Bohr magnetons per cell)
1,1.62
2,0.00
3,0.00
4,0.00